1.
# Y5HoCd4

A relaxed Y5HoCd4 crystal (PBE-GGA, the Alexandria database).

Cell lengths 3.7027, 3.7027, 20.1722 Å; angles 90.00, 90.00, 90.00 degrees
Positions (direct):
1 Y 0.0000 0.0000 0.0000
2 Y 0.0000 0.0000 0.1889
3 Y 0.0000 0.0000 0.3801
4 Y 0.0000 0.0000 0.6199
5 Y 0.0000 0.0000 0.8111
6 Ho 0.5000 0.5000 0.5000
7 Cd 0.5000 0.5000 0.0950
8 Cd 0.5000 0.5000 0.2843
9 Cd 0.5000 0.5000 0.7157
10 Cd 0.5000 0.5000 0.9050

Properties
**Uncorrected energy**: -4.32 eV per atom

---

2.
# Y5Ho2Cd

A relaxed Y5Ho2Cd crystal (PBE-GGA, the Alexandria database).

Cell lengths 7.0291, 7.0291, 9.8778 Å; angles 90.00, 90.00, 90.00 degrees
Positions (direct):
1 Y 0.0000 0.0000 0.0000
2 Y 0.2500 0.2500 0.2500
3 Y 0.2500 0.2500 0.7500
4 Y 0.2500 0.7500 0.2500
5 Y 0.2500 0.7500 0.7500
6 Y 0.5000 0.5000 0.5000
7 Y 0.7500 0.2500 0.2500
8 Y 0.7500 0.2500 0.7500
9 Y 0.7500 0.7500 0.2500
10 Y 0.7500 0.7500 0.7500
11 Ho 0.0000 0.5000 0.0000
12 Ho 0.0000 0.5000 0.5000
13 Ho 0.5000 0.0000 0.0000
14 Ho 0.5000 0.0000 0.5000
15 Cd 0.0000 0.0000 0.5000
16 Cd 0.5000 0.5000 0.0000

Properties
**Uncorrected energy**: -5.31 eV per atom

---

3.
# Y3Ho12Cd

A relaxed Y3Ho12Cd crystal (PBE-GGA, the Alexandria database).

Cell lengths 4.9449, 4.9449, 20.0017 Å; angles 90.00, 90.00, 90.00 degrees
Positions (direct):
1 Y 0.0000 0.0000 0.0000
2 Y 0.0000 0.0000 0.2523
3 Y 0.0000 0.0000 0.7477
4 Ho 0.0000 0.5000 0.1267
5 Ho 0.0000 0.5000 0.3790
6 Ho 0.0000 0.5000 0.6210
7 Ho 0.0000 0.5000 0.8733
8 Ho 0.5000 0.0000 0.1267
9 Ho 0.5000 0.0000 0.3790
10 Ho 0.5000 0.0000 0.6210
11 Ho 0.5000 0.0000 0.8733
12 Ho 0.5000 0.5000 0.0000
13 Ho 0.5000 0.5000 0.2557
14 Ho 0.5000 0.5000 0.5000
15 Ho 0.5000 0.5000 0.7443
16 Cd 0.0000 0.0000 0.5000

Properties
**Uncorrected energy**: -4.70 eV per atom

---

4.
# YHo2Cd

A relaxed YHo2Cd crystal (PBE-GGA, the Alexandria database).

Cell lengths 3.5633, 3.5633, 32.3009 Å; angles 90.00, 90.00, 120.00 degrees
Positions (direct):
1 Y 0.0000 0.0000 0.0000
2 Y 0.3333 0.6667 0.6667
3 Y 0.6667 0.3333 0.3333
4 Ho 0.0000 0.0000 0.2443
5 Ho 0.0000 0.0000 0.7557
6 Ho 0.3333 0.6667 0.4223
7 Ho 0.3333 0.6667 0.9110
8 Ho 0.6667 0.3333 0.0890
9 Ho 0.6667 0.3333 0.5777
10 Cd 0.0000 0.0000 0.5000
11 Cd 0.3333 0.6667 0.1667
12 Cd 0.6667 0.3333 0.8333

Properties
**Energy relative to the lowest polymorph listed for this composition**: 88.7 meV/atom

---

5.
# Y2Ho3Cd2

A relaxed Y2Ho3Cd2 crystal (PBE-GGA, the Alexandria database).

Cell lengths 8.5282, 8.5282, 8.5282 Å; angles 36.65, 36.65, 36.65 degrees
Positions (direct):
1 Y 0.0750 0.0750 0.0750
2 Y 0.9250 0.9250 0.9250
3 Ho 0.3436 0.3436 0.3436
4 Ho 0.5000 0.5000 0.5000
5 Ho 0.6564 0.6564 0.6564
6 Cd 0.2120 0.2120 0.2120
7 Cd 0.7880 0.7880 0.7880

Properties
**Energy relative to the lowest polymorph listed for this composition**: 0.0 meV/atom

---

6.
# YHo4Cd2

A relaxed YHo4Cd2 crystal (PBE-GGA, the Alexandria database).

Cell lengths 10.6074, 10.6074, 10.6074 Å; angles 27.74, 27.74, 27.74 degrees
Positions (direct):
1 Y 0.0000 0.0000 0.0000
2 Ho 0.2026 0.2026 0.2026
3 Ho 0.3950 0.3950 0.3950
4 Ho 0.6050 0.6050 0.6050
5 Ho 0.7974 0.7974 0.7974
6 Cd 0.1003 0.1003 0.1003
7 Cd 0.8997 0.8997 0.8997

Properties
**Uncorrected energy**: -3.58 eV per atom